(1)
First-principles (SCAN) data for a crystal of La3CdFe4O12 relaxed with PBEsol, as listed in the Alexandria database.

Cell: 5.354 7.640 5.361 Å, 90.00 90.02 90.00°
Fractional positions:
La  0.000  0.000  0.000
La  0.026  0.500  0.982
La  0.524  0.500  0.485
Cd  0.501  0.000  0.497
Fe  0.014  0.246  0.492
Fe  0.014  0.754  0.492
Fe  0.512  0.246  0.990
Fe  0.512  0.754  0.990
O  0.066  0.000  0.525
O  0.231  0.249  0.209
O  0.231  0.751  0.209
O  0.283  0.291  0.721
O  0.283  0.709  0.721
O  0.488  0.000  0.929
O  0.545  0.500  0.032
O  0.728  0.206  0.275
O  0.728  0.794  0.275
O  0.793  0.258  0.773
O  0.793  0.742  0.773
O  0.980  0.500  0.451

Results
- Magnetization: 16.2 μB/f.u.
- E: -17.764 eV per atom
- Crystal system: monoclinic
- Space group: Pm (6)
- Mass density: 7.15 g/cm3
- Energy relative to the elements, uncorrected: -232.8 kJ per mole of atoms


(2)
First-principles (SCAN) data for a crystal of CoTc2Te relaxed with PBEsol, as listed in the Alexandria database.

Cell: 2.884 3.889 5.434 Å, 90.00 98.95 90.00°
Fractional positions:
Co  0.000  0.000  0.000
Tc  0.417  0.500  0.783
Tc  0.583  0.500  0.217
Te  0.000  0.000  0.500

Results
- Magnetization: 1.4 μB/f.u.
- E: -30.617 eV per atom
- Crystal system: monoclinic
- Space group: P2/m (10)
- Mass density: 10.55 g/cm3
- Energy relative to the elements, uncorrected: 53.2 kJ per mole of atoms


(3)
First-principles (SCAN) data for a crystal of EuNiGe relaxed with PBEsol, as listed in the Alexandria database.

Cell: 5.966 6.057 7.449 Å, 90.00 120.80 90.00°
Fractional positions:
Eu  0.204  0.137  0.400
Eu  0.204  0.363  0.900
Eu  0.796  0.637  0.100
Eu  0.796  0.863  0.600
Ni  0.382  0.595  0.324
Ni  0.382  0.905  0.824
Ni  0.618  0.095  0.176
Ni  0.618  0.405  0.676
Ge  0.260  0.639  0.572
Ge  0.260  0.861  0.072
Ge  0.740  0.139  0.928
Ge  0.740  0.361  0.428

Results
- Magnetization: 7.0 μB/f.u.
- E: -30.294 eV per atom
- Crystal system: monoclinic
- Space group: P2_1/c (14)
- Mass density: 8.14 g/cm3


(4)
First-principles (SCAN) data for a crystal of ReAs2SeN relaxed with PBEsol, as listed in the Alexandria database.

Cell: 4.771 4.771 4.831 Å, 90.00 90.00 90.00°
Fractional positions:
Re  0.000  0.000  0.000
As  0.000  0.500  0.000
As  0.500  0.000  0.000
Se  0.000  0.000  0.500
N  0.500  0.500  0.500

Results
- Magnetization: 2.4 μB/f.u.
- E: -26.690 eV per atom
- Crystal system: tetragonal
- Space group: P4/mmm (123)
- Mass density: 6.48 g/cm3
- Energy relative to the elements, uncorrected: 142.8 kJ per mole of atoms


(5)
First-principles (SCAN) data for a crystal of KTeCN2 relaxed with PBEsol, as listed in the Alexandria database.

Cell: 4.301 4.301 4.267 Å, 90.00 90.00 90.00°
Fractional positions:
K  0.000  0.000  0.000
Te  0.500  0.500  0.000
C  0.500  0.500  0.500
N  0.000  0.500  0.500
N  0.500  0.000  0.500

Results
- Magnetization: 4.0 μB/f.u.
- E: -12.563 eV per atom
- Crystal system: tetragonal
- Space group: P4/mmm (123)
- Mass density: 4.35 g/cm3
- Energy relative to the elements, uncorrected: 220.9 kJ per mole of atoms


(6)
First-principles (SCAN) data for a crystal of DyInRh relaxed with PBEsol, as listed in the Alexandria database.

Cell: 7.386 7.386 3.877 Å, 90.00 90.00 120.00°
Fractional positions:
Dy  0.000  0.593  0.000
Dy  0.407  0.407  0.000
Dy  0.593  0.000  0.000
In  0.000  0.257  0.500
In  0.257  0.000  0.500
In  0.743  0.743  0.500
Rh  0.000  0.000  0.000
Rh  0.333  0.667  0.500
Rh  0.667  0.333  0.500

Results
- Magnetization: 0.0 μB/f.u.
- E: -39.192 eV per atom
- Crystal system: hexagonal
- Space group: P-62m (189)
- Mass density: 10.34 g/cm3


(7)
First-principles (SCAN) data for a crystal of Be3CdO relaxed with PBEsol, as listed in the Alexandria database.

Cell: 3.690 3.690 3.690 Å, 90.00 90.00 90.00°
Fractional positions:
Be  0.000  0.000  0.500
Be  0.000  0.500  0.000
Be  0.500  0.000  0.000
Cd  0.500  0.500  0.500
O  0.000  0.000  0.000

Results
- Magnetization: 0.0 μB/f.u.
- E: -10.233 eV per atom
- Crystal system: cubic
- Space group: Pm-3m (221)
- Mass density: 5.14 g/cm3
- Energy relative to the elements, uncorrected: -28.2 kJ per mole of atoms


(8)
First-principles (SCAN) data for a crystal of Sc2TcHgC relaxed with PBEsol, as listed in the Alexandria database.

Cell: 5.256 5.256 3.769 Å, 90.00 90.00 90.00°
Fractional positions:
Sc  0.000  0.500  0.000
Sc  0.500  0.000  0.000
Tc  0.000  0.000  0.500
Hg  0.500  0.500  0.000
C  0.500  0.500  0.500

Results
- Magnetization: 1.0 μB/f.u.
- E: -26.824 eV per atom
- Crystal system: tetragonal
- Space group: P4/mmm (123)
- Mass density: 6.39 g/cm3


(9)
First-principles (SCAN) data for a crystal of Ca2HgPt relaxed with PBEsol, as listed in the Alexandria database.

Cell: 4.986 4.986 3.622 Å, 90.00 90.00 90.00°
Fractional positions:
Ca  0.000  0.500  0.000
Ca  0.500  0.000  0.000
Hg  0.000  0.000  0.500
Pt  0.500  0.500  0.500

Results
- Magnetization: 0.0 μB/f.u.
- E: -40.232 eV per atom
- Crystal system: tetragonal
- Space group: P4/mmm (123)
- Mass density: 8.78 g/cm3


(10)
First-principles (SCAN) data for a crystal of Na3ZrSn relaxed with PBEsol, as listed in the Alexandria database.

Cell: 5.684 5.684 5.684 Å, 90.00 90.00 90.00°
Fractional positions:
Na  0.000  0.000  0.500
Na  0.000  0.500  0.000
Na  0.500  0.000  0.000
Zr  0.000  0.000  0.000
Sn  0.500  0.500  0.500

Results
- Magnetization: 4.1 μB/f.u.
- E: -14.604 eV per atom
- Crystal system: cubic
- Space group: Pm-3m (221)
- Mass density: 2.52 g/cm3


(11)
First-principles (SCAN) data for a crystal of Ba3SrH relaxed with PBEsol, as listed in the Alexandria database.

Cell: 6.981 6.981 6.981 Å, 90.00 90.00 90.00°
Fractional positions:
Ba  0.000  0.000  0.500
Ba  0.000  0.500  0.000
Ba  0.500  0.000  0.000
Sr  0.000  0.000  0.000
H  0.500  0.500  0.500

Results
- Magnetization: 5.1 μB/f.u.
- E: -27.958 eV per atom
- Crystal system: cubic
- Space group: Pm-3m (221)
- Mass density: 2.44 g/cm3


(12)
First-principles (SCAN) data for a crystal of YMn2Hg relaxed with PBEsol, as listed in the Alexandria database.

Cell: 5.010 5.010 5.010 Å, 130.21 130.21 73.08°
Fractional positions:
Y  0.000  0.000  0.000
Mn  0.250  0.750  0.500
Mn  0.750  0.250  0.500
Hg  0.500  0.500  0.000

Results
- Magnetization: 7.3 μB/f.u.
- E: -33.200 eV per atom
- Crystal system: tetragonal
- Space group: I4/mmm (139)
- Mass density: 9.26 g/cm3